(1)
! Zn2RuPt, relaxed, DFT PBE; values from VASP
&SYSTEM
  ibrav = 0, nat = 4, ntyp = 3
/
ATOMIC_SPECIES
Zn 65.41 Zn.upf
Pt 195.08 Pt.upf
Ru 101.07 Ru.upf
CELL_PARAMETERS angstrom
4.7779 0.0483 0.0000
1.6503 4.4841 0.0000
-3.2141 -2.2662 2.7138
ATOMIC_POSITIONS crystal
Zn 0.2500 0.7500 0.5000
Zn 0.0000 0.0000 0.0000
Pt 0.5000 0.5000 0.0000
Ru 0.7500 0.2500 0.5000
! **Crystal system**: tetragonal
! **ΔE_f**: -0.0931 eV per atom
! **Magnetization**: 0.0 μB per formula unit
! **DOS(E_F)**: 4.10 states/eV/f.u.

=====

(2)
! ZnRu2Pt, relaxed, DFT PBE; values from VASP
&SYSTEM
  ibrav = 0, nat = 4, ntyp = 3
/
ATOMIC_SPECIES
Ru 101.07 Ru.upf
Zn 65.41 Zn.upf
Pt 195.08 Pt.upf
CELL_PARAMETERS angstrom
4.6857 0.0028 -0.0008
3.8841 2.6209 -0.0008
0.7319 0.2241 4.6962
ATOMIC_POSITIONS crystal
Ru 0.0026 0.0026 0.9673
Zn 0.5004 0.5004 0.4832
Pt 0.2515 0.2515 0.2732
Ru 0.7455 0.7455 0.7763
! **Crystal system**: monoclinic
! **ΔE_f**: -0.0478 eV per atom
! **Magnetization**: 0.1 μB per formula unit
! **DOS(E_F)**: 3.67 states/eV/f.u.

=====

(3)
! Zn2RuPt, relaxed, DFT PBE; values from VASP
&SYSTEM
  ibrav = 0, nat = 4, ntyp = 3
/
ATOMIC_SPECIES
Zn 65.41 Zn.upf
Ru 101.07 Ru.upf
Pt 195.08 Pt.upf
CELL_PARAMETERS angstrom
8.6705 0.0096 0.0056
8.2143 2.7754 0.0056
8.2143 1.3549 2.4223
ATOMIC_POSITIONS crystal
Zn 0.4986 0.4986 0.4986
Ru 0.7500 0.7500 0.7500
Pt 0.2500 0.2500 0.2500
Zn 0.0014 0.0014 0.0014
! **Crystal system**: trigonal
! **ΔE_f**: -0.1797 eV per atom
! **Magnetization**: 0.0 μB per formula unit
! **DOS(E_F)**: 1.89 states/eV/f.u.